Material: CsMnF3
Method: DFT, GGA+U
State: optimized geometry

```
CsMnF3
1.0
6.325 0.000 0.000
-3.163 5.478 0.000
0.000 0.000 15.366
Cs Mn F
6 6 18
Direct
0.000 0.000 0.250
0.000 0.000 0.750
0.333 0.667 0.098
0.333 0.667 0.402
0.667 0.333 0.598
0.667 0.333 0.902
0.000 0.000 0.000
0.000 0.000 0.500
0.333 0.667 0.652
0.333 0.667 0.848
0.667 0.333 0.152
0.667 0.333 0.348
0.045 0.522 0.750
0.165 0.331 0.579
0.165 0.331 0.921
0.165 0.835 0.579
0.165 0.835 0.921
0.331 0.165 0.079
0.331 0.165 0.421
0.478 0.522 0.750
0.478 0.955 0.750
0.522 0.045 0.250
0.522 0.478 0.250
0.669 0.835 0.579
0.669 0.835 0.921
0.835 0.165 0.079
0.835 0.165 0.421
0.835 0.669 0.079
0.835 0.669 0.421
0.955 0.478 0.250
```

Computed properties:
For the total DFT energy (no corrections), the calculation gives -5.54 eV per atom.